PBE Pm2CoSi, optimized geometry; final energy = -23.5 eV/cell; formation energy without anion corrections = -378 meV per atom; magnetic moment = 0.22 μB per atom; space group = P-3m1
1.0
4.8640 0.0000 0.0000
-2.4320 4.2123 0.0000
0.0000 0.0000 4.5448
Pm Co Si
2 1 1
Cartesian
0.0000 2.8082 1.0920
2.4320 1.4041 3.4528
0.0000 0.0000 0.0000
0.0000 0.0000 2.2724

PBE Pm5Co2Si, optimized geometry; final energy = -90.5 eV/cell; formation energy without anion corrections = -235 meV per atom; magnetic moment = 0.00 μB per atom; space group = I4/mcm
1.0
-3.8246 3.8246 6.6749
3.8246 -3.8246 6.6749
3.8246 3.8246 -6.6749
Pm Co Si
10 4 2
Cartesian
0.0000 0.0000 0.0000
5.1139 1.2893 -1.8874
1.2893 2.5353 -1.8874
5.1139 1.2893 1.8874
1.2893 2.5353 1.8874
0.0000 0.0000 6.6749
2.5353 1.2893 4.7875
-1.2893 2.5353 4.7875
2.5353 1.2893 8.5623
-1.2893 2.5353 8.5623
2.9489 0.8757 0.0000
2.9489 -0.8757 6.6749
0.8757 4.7002 0.0000
0.8757 2.9489 6.6749
0.0000 0.0000 3.3374
0.0000 0.0000 10.0123

PBE Pm2CoSi, optimized geometry; final energy = -71.5 eV/cell; formation energy without anion corrections = -455 meV per atom; magnetic moment = 0.00 μB per atom; space group = R3m
1.0
4.0374 0.0000 0.0000
-2.0187 3.4965 0.0000
0.0000 0.0000 21.8159
Pm Co Si
6 3 3
Cartesian
0.0000 0.0000 0.0000
0.0000 0.0000 3.7049
0.0000 2.3310 14.5440
0.0000 2.3310 18.2489
2.0187 1.1655 7.2720
2.0187 1.1655 10.9769
0.0000 0.0000 9.1090
0.0000 2.3310 1.8371
2.0187 1.1655 16.3810
0.0000 0.0000 16.4216
0.0000 2.3310 9.1496
2.0187 1.1655 1.8776

PBE Pm12CoSi6, optimized geometry; final energy = -103.5 eV/cell; formation energy without anion corrections = -358 meV per atom; magnetic moment = 0.00 μB per atom; space group = R-3
1.0
6.4315 3.7132 3.9900
-6.4315 3.7132 3.9900
0.0000 -7.4264 3.9900
Pm Co Si
12 1 6
Cartesian
-5.7720 -1.4637 6.6137
-1.6184 -5.7305 5.3563
-2.4680 -0.3763 4.7167
-4.1536 4.2668 5.3563
1.5599 -1.9492 4.7166
-0.9081 -2.3255 7.2534
0.9081 2.3255 4.7166
-1.5599 1.9492 7.2534
4.1536 -4.2668 6.6137
2.4680 0.3763 7.2534
1.6184 5.7305 6.6137
5.7720 1.4637 5.3563
0.0000 0.0000 0.0000
-1.1162 -3.0298 4.1945
-2.0658 2.4816 4.1945
-3.1820 -0.5482 7.7755
3.1820 0.5482 4.1945
2.0658 -2.4816 7.7755
1.1162 3.0298 7.7755

PBE PmSmCoSi, optimized geometry; final energy = -91.8 eV/cell; formation energy without anion corrections = -238 meV per atom; magnetic moment = 0.23 μB per atom; space group = F-43m
1.0
7.0832 0.0000 0.0000
0.0000 7.0832 0.0000
0.0000 0.0000 7.0832
Pm Sm Co Si
4 4 4 4
Cartesian
0.0000 0.0000 0.0000
0.0000 3.5416 3.5416
3.5416 0.0000 3.5416
3.5416 3.5416 0.0000
0.0000 0.0000 3.5416
0.0000 3.5416 0.0000
3.5416 0.0000 0.0000
3.5416 3.5416 3.5416
1.7708 1.7708 5.3124
1.7708 5.3124 1.7708
5.3124 1.7708 1.7708
5.3124 5.3124 5.3124
1.7708 1.7708 1.7708
1.7708 5.3124 5.3124
5.3124 1.7708 5.3124
5.3124 5.3124 1.7708

PBE PmCoSi2Tc, optimized geometry; final energy = -73.1 eV/cell; formation energy without anion corrections = -694 meV per atom; magnetic moment = 0.00 μB per atom; space group = I-4m2
1.0
4.1270 0.0000 0.0000
0.0000 4.1270 0.0000
0.0000 0.0000 9.8046
Pm Co Si Tc
2 2 4 2
Cartesian
0.0000 0.0000 0.0000
2.0635 2.0635 4.9023
0.0000 2.0635 2.4511
2.0635 0.0000 7.3534
0.0000 0.0000 3.5971
0.0000 0.0000 6.2075
2.0635 2.0635 1.3052
2.0635 2.0635 8.4994
0.0000 2.0635 7.3534
2.0635 0.0000 2.4511